No. 1
A geometry-optimized HgBrN structure. Source: the Alexandria database, functional PBE-GGA.

Unit cell a=4.268 b=6.314 c=7.328 alpha=73.72 beta=73.44 gamma=74.28
Space group P-1 (No. 2)
Inequivalent atoms, fractional coordinates:
Hg (0.234, 0.344, 0.422) x2
Br (0.195, 0.871, 0.748) x2
N (0.446, 0.280, 0.849) x2

Summary:
Energy above the most stable polymorph in this dataset, meV/atom: 737

---

No. 2
A geometry-optimized HgBrN structure. Source: the Alexandria database, functional PBE-GGA.

Unit cell a=4.865 b=7.160 c=7.118 alpha=90.00 beta=90.00 gamma=90.00
Space group Aem2 (No. 39)
Inequivalent atoms, fractional coordinates:
Hg (0.000, 0.000, 0.000) x4
Br (0.499, 0.250, 0.251) x4
N (0.233, 0.250, 0.500) x4

Summary:
Energy above the most stable polymorph in this dataset, meV/atom: 0

---

No. 3
A geometry-optimized HgBr3N structure. Source: the Alexandria database, functional PBE-GGA.

Unit cell a=6.537 b=7.690 c=8.052 alpha=73.37 beta=67.41 gamma=87.57
Space group P-1 (No. 2)
Inequivalent atoms, fractional coordinates:
Hg (0.216, 0.183, 0.016) x2
Br (0.164, 0.404, 0.195) x2
Br (0.314, 0.959, 0.835) x2
Br (0.318, 0.534, 0.592) x2
N (0.120, 0.847, 0.344) x2

Summary:
Density of states at the Fermi level, states/eV/atom: 0.0000
Energy above the most stable polymorph in this dataset, meV/atom: 0

---

No. 4
A geometry-optimized HgBrN2 structure. Source: the Alexandria database, functional PBE-GGA.

Unit cell a=6.141 b=6.141 c=6.141 alpha=90.00 beta=90.00 gamma=90.00
Space group Fm-3m (No. 225)
Inequivalent atoms, fractional coordinates:
Hg (0.000, 0.000, 0.000) x4
Br (0.000, 0.000, 0.500) x4
N (0.250, 0.250, 0.250) x8

Summary:
Density of states at the Fermi level, states/eV/atom: 0.7343
Energy above the most stable polymorph in this dataset, meV/atom: 2676

---

No. 5
A geometry-optimized HgBr4N2 structure. Source: the Alexandria database, functional PBE-GGA.

Unit cell a=4.291 b=8.133 c=8.142 alpha=63.45 beta=84.65 gamma=83.86
Space group P-1 (No. 2)
Inequivalent atoms, fractional coordinates:
Hg (0.000, 0.000, 0.000) x1
Br (0.063, 0.271, 0.327) x2
Br (0.368, 0.194, 0.749) x2
N (0.082, 0.727, 0.871) x2

---

No. 6
A geometry-optimized HgBrN3 structure. Source: the Alexandria database, functional PBE-GGA.

Unit cell a=4.424 b=4.424 c=4.424 alpha=90.00 beta=90.00 gamma=90.00
Space group Pm-3m (No. 221)
Inequivalent atoms, fractional coordinates:
Hg (0.000, 0.000, 0.000) x1
Br (0.500, 0.500, 0.500) x1
N (0.000, 0.000, 0.500) x3

Summary:
Density of states at the Fermi level, states/eV/atom: 0.6469

---

No. 7
A geometry-optimized Hg2BrN structure. Source: the Alexandria database, functional PBE-GGA.

Unit cell a=7.415 b=7.415 c=7.415 alpha=90.00 beta=90.00 gamma=90.00
Space group Fm-3m (No. 225)
Inequivalent atoms, fractional coordinates:
Hg (0.250, 0.250, 0.250) x8
Br (0.000, 0.000, 0.000) x4
N (0.000, 0.000, 0.500) x4

Summary:
Density of states at the Fermi level, states/eV/atom: 0.6394
Energy above the most stable polymorph in this dataset, meV/atom: 1042

---

No. 8
A geometry-optimized NaHgBr2N structure. Source: the Alexandria database, functional PBE-GGA.

Unit cell a=4.804 b=4.804 c=4.886 alpha=90.00 beta=90.00 gamma=90.00
Space group P4/mmm (No. 123)
Inequivalent atoms, fractional coordinates:
Na (0.000, 0.000, 0.000) x1
Hg (0.500, 0.500, 0.000) x1
Br (0.000, 0.500, 0.500) x2
N (0.000, 0.000, 0.500) x1

Summary:
Density of states at the Fermi level, states/eV/atom: 0.4584

---

No. 9
A geometry-optimized NbHgBrN2 structure. Source: the Alexandria database, functional PBE-GGA.

Unit cell a=4.120 b=4.120 c=5.147 alpha=90.00 beta=90.00 gamma=90.00
Space group P4/mmm (No. 123)
Inequivalent atoms, fractional coordinates:
Nb (0.000, 0.000, 0.000) x1
Hg (0.500, 0.500, 0.000) x1
Br (0.500, 0.500, 0.500) x1
N (0.000, 0.500, 0.500) x2

Summary:
Density of states at the Fermi level, states/eV/atom: 1.1001

---

No. 10
A geometry-optimized HgBrN2O structure. Source: the Alexandria database, functional PBE-GGA.

Unit cell a=4.438 b=4.438 c=4.438 alpha=90.00 beta=90.00 gamma=90.00
Space group P4/mmm (No. 123)
Inequivalent atoms, fractional coordinates:
Hg (0.000, 0.000, 0.000) x1
Br (0.500, 0.500, 0.500) x1
N (0.000, 0.500, 0.000) x2
O (0.000, 0.000, 0.500) x1

Summary:
Density of states at the Fermi level, states/eV/atom: 0.5739

---

No. 11
A geometry-optimized HgBrNO2 structure. Source: the Alexandria database, functional PBE-GGA.

Unit cell a=4.212 b=4.212 c=3.756 alpha=90.00 beta=90.00 gamma=90.00
Space group P4/mmm (No. 123)
Inequivalent atoms, fractional coordinates:
Hg (0.000, 0.000, 0.000) x1
Br (0.500, 0.500, 0.500) x1
N (0.500, 0.500, 0.000) x1
O (0.000, 0.500, 0.500) x2

Summary:
Density of states at the Fermi level, states/eV/atom: 0.2879

---

No. 12
A geometry-optimized HgBr2NO structure. Source: the Alexandria database, functional PBE-GGA.

Unit cell a=5.638 b=5.638 c=4.271 alpha=90.00 beta=90.00 gamma=90.00
Space group P4/mmm (No. 123)
Inequivalent atoms, fractional coordinates:
Hg (0.000, 0.000, 0.000) x1
Br (0.000, 0.500, 0.000) x2
N (0.000, 0.000, 0.500) x1
O (0.500, 0.500, 0.500) x1

Summary:
Density of states at the Fermi level, states/eV/atom: 1.3218

---

E_form (uncorrected) values (in eV per formula unit) by entry order: 4.4 2.2 3.9 10.1 5.6 13.5 5.1 1.9 12.4 10.5 6.4 7.0.
Total DFT energy (no corrections) values (in eV for the cell shown) by entry order: -11.828 -32.498 -19.518 -34.050 -18.073 -13.427 -21.999 -11.385 -16.272 -13.068 -13.852 -9.921.